The following is a GGA-PBE calculation of HgH6Pd8 after structural relaxation, from Alexandria via LeMat-Bulk.

Cell and atoms, written as extended XYZ:
```
15
Lattice="8.009 0.000 0.000 -4.004 6.936 0.000 0.000 0.000 2.902" Properties=species:S:1:pos:R:3 pbc="T T T"
Hg 0.000 0.000 0.000
H -0.565 3.048 0.538
H -1.082 5.902 0.538
H 2.357 2.013 2.364
H 1.648 4.922 0.538
H 5.087 1.034 2.364
H 4.570 3.888 2.364
Pd -2.554 4.690 0.905
Pd 1.220 2.379 0.905
Pd 0.000 4.624 2.570
Pd 2.670 0.133 1.997
Pd 1.334 6.803 0.905
Pd 4.004 2.312 0.333
Pd 2.784 4.557 1.997
Pd 6.559 2.246 1.997
```

Computed properties:
Total moment: 0.000 μB per formula unit
N(E_F): 5.82 states/eV per cell
E: -63.38 eV/cell
Space-group type: P-3 (147)